--- A ---
The following is a GGA-PBEsol calculation of a geometry-optimized Li5CuP2O8 structure, from Alexandria via LeMat-Bulk.

Crystal system: monoclinic

Geometry as POSCAR:
```
Li5CuP2O8
1.0
-0.154 -4.963 0.388
0.401 -0.487 -6.064
10.560 -0.264 0.813
O Li P Cu
16 10 4 2
Cartesian
3.926 -3.185 -5.320 O
6.254 -2.088 -0.900 O
0.933 -3.298 -1.201 O
4.696 -1.109 -4.097 O
4.728 -4.926 -0.857 O
10.145 -0.663 -0.795 O
9.026 -2.752 -2.418 O
3.733 -3.049 -2.792 O
0.766 -2.610 -4.317 O
6.747 -4.872 0.631 O
9.862 -4.928 -3.401 O
9.215 -3.024 -4.936 O
7.027 -5.124 -1.885 O
6.030 -3.240 -3.871 O
1.603 -0.345 -0.120 O
1.887 -0.505 -2.643 O
4.498 -2.931 -0.958 Li
9.791 -2.631 -0.586 Li
1.102 -0.649 -4.464 Li
6.244 -5.217 -3.710 Li
9.016 -0.759 -2.350 Li
1.662 -2.294 0.297 Li
3.601 -5.003 -2.415 Li
7.133 -3.156 -2.264 Li
1.869 -2.511 -2.711 Li
6.928 -2.890 0.740 Li
9.865 -3.379 -3.562 P
4.604 -2.662 -4.015 P
0.887 -4.848 -1.113 P
6.305 -0.543 -1.054 P
9.123 -0.962 -5.326 Cu
3.705 -5.273 -5.385 Cu
```

---

--- B ---
The following is a GGA-PBEsol calculation of a geometry-optimized Li5CuP2O8 structure, from Alexandria via LeMat-Bulk.

Crystal system: monoclinic

Geometry as POSCAR:
```
Li5CuP2O8
1.0
4.915 0.002 0.000
-0.030 5.228 0.000
0.000 0.000 6.115
P Li O Cu
2 5 8 1
Cartesian
2.442 4.281 3.057 P
-0.001 0.895 0.000 P
2.473 4.392 0.000 Li
2.488 1.702 4.560 Li
2.488 1.702 1.555 Li
0.005 3.521 4.582 Li
0.005 3.521 1.533 Li
0.544 1.661 1.245 O
0.483 4.664 0.000 O
2.909 0.549 3.057 O
2.977 3.581 1.777 O
0.544 1.661 4.870 O
3.366 0.934 0.000 O
0.894 4.211 3.057 O
2.977 3.581 4.338 O
0.021 0.976 3.057 Cu
```

---

Which of them is the most stable? Correct choice: B.

---

--- A ---
The following is a GGA-PBEsol calculation of a geometry-optimized LiCuP4O12 structure, from Alexandria via LeMat-Bulk.

Crystal system: triclinic

Geometry as POSCAR:
```
LiCuP4O12
1.0
5.373 0.220 0.401
-2.051 6.327 0.034
-0.845 -2.768 6.484
O P Cu Li
12 4 1 1
Cartesian
3.045 -2.173 5.749 O
-1.213 3.506 1.922 O
2.896 2.454 5.687 O
2.633 1.765 2.814 O
1.107 4.623 2.286 O
3.701 0.151 5.049 O
-0.211 1.850 4.037 O
2.921 2.619 0.455 O
1.335 -0.680 4.578 O
-0.504 1.161 6.459 O
-0.784 5.862 1.205 O
-0.463 1.276 1.173 O
3.618 2.298 1.868 P
-1.204 1.416 5.030 P
-0.063 4.502 1.409 P
2.478 -0.765 5.507 P
2.392 3.720 6.907 Cu
1.076 0.747 3.130 Li
```

---

--- B ---
The following is a GGA-PBEsol calculation of a geometry-optimized LiCuP4O12 structure, from Alexandria via LeMat-Bulk.

Crystal system: orthorhombic

Geometry as POSCAR:
```
LiCuP4O12
1.0
9.012 0.000 0.000
0.000 9.288 0.000
0.000 0.000 10.011
O P Cu Li
48 16 4 4
Cartesian
3.147 8.383 4.693 O
8.789 8.483 8.696 O
2.926 3.330 7.602 O
3.167 5.653 8.746 O
7.673 8.279 1.265 O
5.845 1.009 6.270 O
1.575 8.163 1.245 O
6.086 7.974 7.415 O
4.729 0.806 3.691 O
3.283 5.140 4.181 O
7.437 3.519 3.761 O
6.081 5.769 8.766 O
4.469 1.059 8.725 O
7.652 5.549 5.318 O
7.890 4.087 9.046 O
7.693 5.879 2.784 O
7.432 1.314 2.409 O
4.543 5.703 6.291 O
3.404 3.447 0.053 O
3.187 8.053 7.227 O
8.974 3.585 1.286 O
4.525 3.078 2.286 O
0.019 1.566 7.725 O
1.121 8.731 5.971 O
7.909 1.197 9.958 O
5.865 3.739 0.313 O
8.911 6.002 0.325 O
7.789 8.792 5.830 O
3.384 0.557 0.965 O
1.580 5.958 2.596 O
1.102 5.841 5.059 O
4.405 7.930 9.686 O
5.728 0.496 0.824 O
0.223 3.839 6.320 O
5.825 3.409 7.789 O
1.223 4.148 9.187 O
2.931 1.125 6.250 O
5.627 5.201 4.040 O
1.319 1.235 2.222 O
0.037 8.229 3.720 O
4.607 3.286 5.331 O
4.283 5.450 1.315 O
8.992 6.210 7.291 O
0.101 1.358 4.680 O
5.608 8.091 4.952 O
1.359 0.905 9.698 O
4.487 7.722 2.720 O
1.339 3.635 3.741 O
1.753 5.079 3.822 P
8.997 0.646 8.880 P
7.258 0.435 1.183 P
2.688 8.914 6.115 P
6.324 4.270 8.902 P
7.193 5.019 3.896 P
4.497 0.142 9.891 P
6.259 8.853 6.189 P
1.818 0.374 1.110 P
9.003 4.502 0.120 P
2.752 4.209 8.828 P
4.514 4.786 5.125 P
0.015 5.290 6.137 P
4.491 3.998 1.131 P
0.008 9.146 4.886 P
4.521 8.642 3.874 P
4.559 6.811 7.957 Cu
0.053 7.121 2.054 Cu
8.959 2.477 2.951 Cu
4.453 2.167 7.060 Cu
1.208 2.312 6.449 Li
5.714 2.333 3.562 Li
7.804 6.956 8.567 Li
3.298 6.977 1.444 Li
```

---

Which of them is the most stable? Correct choice: A.